(1)
SrTaP3 after structural relaxation, computed with PBE-GGA.

Calculated values
* energy above the most stable polymorph in this dataset: 12.28 eV/f.u.
* crystal system: cubic
* formation energy: 2.004 eV/atom
* electronic total energy: -19.7 eV per cell

abc: 5.053 5.053 5.053
angles: 90.00 90.00 90.00
Space group Pm-3m (No. 221)
One atom of each set of equivalent atoms:
Sr: 0.000 0.000 0.000 x1
Ta: 0.500 0.500 0.500 x1
P: 0.000 0.000 0.500 x3

=====

(2)
ZrCu2Ag after structural relaxation, computed with PBE-GGA.

Calculated values
* energy above the most stable polymorph in this dataset: 0.43 eV/f.u.
* crystal system: orthorhombic
* formation energy: 0.036 eV/atom
* electronic total energy: -38.9 eV per cell

abc: 2.973 4.700 9.280
angles: 90.00 90.00 90.00
Space group Imm2 (No. 44)
One atom of each set of equivalent atoms:
Zr: 0.000 0.000 0.000 x2
Cu: 0.000 0.000 0.531 x2
Cu: 0.000 0.500 0.240 x2
Ag: 0.000 0.500 0.784 x2

=====

(3)
Hf2TaIn after structural relaxation, computed with PBE-GGA.

Calculated values
* crystal system: tetragonal
* formation energy: -0.021 eV/atom
* electronic total energy: -34.6 eV per cell

abc: 4.500 4.500 4.085
angles: 90.00 90.00 90.00
Space group P4/mmm (No. 123)
One atom of each set of equivalent atoms:
Hf: 0.000 0.500 0.000 x2
Ta: 0.000 0.000 0.500 x1
In: 0.500 0.500 0.500 x1

=====

Number 1: magnetic moment 0.00 μB/cell. Number 2: magnetic moment 0.00 μB/cell. Number 3: magnetic moment 0.01 μB/cell.